Entry 1:
Eu2TmTaO6 at its PBEsol-relaxed geometry. Source: Alexandria via LeMat-Bulk, functional meta-GGA SCAN.

Cell and atoms, written as extended XYZ:
```
10
Lattice="-4.6290 -3.1182 -1.6616 -2.1468 -4.1212 3.5099 -5.1392 0.7949 2.6208" Properties=species:S:1:pos:R:3 pbc="T T T"
Eu -2.9788 -1.6111 1.1173
Eu -8.9363 -4.8334 3.3518
Tm 0.0000 0.0000 0.0000
O -4.1304 -3.6533 2.8461
O -5.5652 -1.2961 2.4198
O -6.3499 -5.1484 2.0494
O -6.5945 -3.2721 4.1027
O -7.7847 -2.7913 1.6230
O -5.3205 -3.1724 0.3664
Ta -5.9575 -3.2223 2.2346
```

Values from the calculation:
**Total DFT energy (no corrections)**: -29.72 eV/atom
**ΔE_f (raw)**: -3399.1 meV/atom
**Symmetry**: No. 225


Entry 2:
Eu2YTaO6 at its PBEsol-relaxed geometry. Source: Alexandria via LeMat-Bulk, functional meta-GGA SCAN.

Cell and atoms, written as extended XYZ:
```
10
Lattice="5.8644 0.0000 0.0000 2.9322 5.0787 0.0000 2.9322 1.6929 4.7882" Properties=species:S:1:pos:R:3 pbc="T T T"
Eu 8.7966 5.0787 3.5912
Eu 2.9322 1.6929 1.1971
Y 0.0000 0.0000 0.0000
O 4.4684 4.1917 1.2544
O 5.8644 4.9977 3.5339
O 5.8644 1.7739 1.2544
O 7.2603 4.1917 1.2544
O 7.2603 2.5799 3.5339
O 4.4684 2.5799 3.5339
Ta 5.8644 3.3858 2.3941
```

Values from the calculation:
**Total DFT energy (no corrections)**: -27.27 eV/atom
**ΔE_f (raw)**: -3344.8 meV/atom
**Symmetry**: No. 225


Entry 3:
EuTm2O4 at its PBEsol-relaxed geometry. Source: Alexandria via LeMat-Bulk, functional meta-GGA SCAN.

Cell and atoms, written as extended XYZ:
```
28
Lattice="-0.0063 -0.7299 -3.2409 -8.3065 -5.0043 1.1432 -6.1287 9.6778 -2.1675" Properties=species:S:1:pos:R:3 pbc="T T T"
Eu -8.3827 -0.9290 -2.3284
Eu -6.0589 4.8726 -1.9369
Eu -11.4252 4.2860 -1.7943
Eu -3.0163 -0.3424 -2.4710
Tm -11.4165 0.7372 -2.6978
Tm -3.0251 3.2064 -1.5675
Tm -5.4659 -1.9999 -0.3903
Tm -8.9756 5.9435 -3.8750
Tm -5.8852 1.1089 -2.7922
Tm -8.5563 2.8347 -1.4731
Tm -6.1051 8.0245 -2.6466
Tm -8.3365 -4.0809 -1.6187
O -5.6009 -1.0200 -2.3134
O -8.8406 4.9636 -1.9519
O -12.5871 1.8192 -1.2365
O -1.8544 2.1244 -3.0288
O -13.3336 3.7417 -3.3707
O -1.1079 0.2019 -0.8946
O -7.3621 1.0173 -1.0661
O -7.0794 2.9263 -3.1992
O -10.0717 2.4405 -3.0840
O -4.3699 1.5031 -1.1813
O -7.6295 -2.4102 -0.2937
O -6.8121 6.3538 -3.9716
O -11.2342 5.8012 -3.8385
O -3.2074 -1.8576 -0.4268
O -10.1901 0.1082 -0.8559
O -4.2515 3.8354 -3.4094
```

Values from the calculation:
**Total DFT energy (no corrections)**: -29.78 eV/atom
**ΔE_f (raw)**: -3740.7 meV/atom
**Symmetry**: No. 62


Entry 4:
Eu3V2O7 at its PBEsol-relaxed geometry. Source: Alexandria via LeMat-Bulk, functional meta-GGA SCAN.

Cell and atoms, written as extended XYZ:
```
12
Lattice="-1.2734 0.8336 -3.4683 1.7411 -3.0689 -1.3769 -8.3531 -4.2476 4.1142" Properties=species:S:1:pos:R:3 pbc="T T T"
Eu -2.7529 -3.0914 -1.8003
Eu -5.1325 -3.3916 1.0694
Eu 0.2338 -1.1177 -2.4226
V -6.3218 -5.4497 -1.0567
V -1.5636 -1.0333 0.3258
O -5.6770 -5.8612 0.6758
O -2.2084 -0.6218 -1.4067
O -7.1843 -3.9099 -0.3699
O -0.7011 -2.5730 -0.3610
O -4.6731 -4.3602 -1.4002
O -3.2123 -2.1227 0.6693
O 0.0000 0.0000 0.0000
```

Values from the calculation:
**Total DFT energy (no corrections)**: -23.08 eV/atom
**ΔE_f (raw)**: -3102.7 meV/atom
**Symmetry**: No. 139


Entry 5:
EuZr4O9 at its PBEsol-relaxed geometry. Source: Alexandria via LeMat-Bulk, functional meta-GGA SCAN.

Cell and atoms, written as extended XYZ:
```
14
Lattice="-1.9519 -2.8284 -0.7411 3.2030 -1.2007 -3.8537 4.5476 -3.0995 8.1905" Properties=species:S:1:pos:R:3 pbc="T T T"
Eu 0.5116 -1.9718 -2.1602
Zr 2.7525 -4.0617 -0.0863
Zr 4.7266 -6.0175 2.1787
Zr 3.2272 -3.1348 3.4644
Zr 1.2392 -1.1738 1.2160
O 5.0035 -4.4224 3.7000
O 3.0017 -4.8060 2.0982
O 2.5028 -3.3463 -2.1588
O 1.3747 -4.1775 3.9848
O 4.5581 -2.9828 -0.6213
O 3.2657 -3.6977 5.5114
O 1.0036 -2.8576 -0.0755
O 2.9916 -2.4141 1.3344
O 0.4053 -0.1519 -0.4877
```

Values from the calculation:
**Total DFT energy (no corrections)**: -20.24 eV/atom
**ΔE_f (raw)**: -3630.0 meV/atom
**Symmetry**: No. 44


Entry 6:
EuP2Os2 at its PBEsol-relaxed geometry. Source: Alexandria via LeMat-Bulk, functional meta-GGA SCAN.

Cell and atoms, written as extended XYZ:
```
5
Lattice="4.0617 0.0000 0.0000 0.0000 4.0617 0.0000 -2.0309 -2.0309 4.9316" Properties=species:S:1:pos:R:3 pbc="T T T"
Eu 0.0000 0.0000 0.0000
P 0.0000 0.0000 3.6300
P 2.0309 2.0309 1.3017
Os 2.0309 0.0000 2.4658
Os 0.0000 2.0309 2.4658
```

Values from the calculation:
**DFT formation energy**: -3.78 eV/f.u.
**Total DFT energy (no corrections)**: -44.41 eV/atom
**Symmetry**: No. 139